(1)
Density functional theory data (GGA-PBE) for a relaxed TlNi2P crystal.

Results
- E_form (eV per atom) = 0.578
- SG = F-43m, No. 216

Cell lengths 4.426, 4.426, 4.426 Å; angles 60.00, 60.00, 60.00 degrees
Positions (direct):
Tl: 0.250 0.250 0.250
Ni: 0.000 0.000 0.000
Ni: 0.750 0.750 0.750
P: 0.500 0.500 0.500

(2)
Density functional theory data (GGA-PBE) for a relaxed BeCdSb crystal.

Results
- ΔE_f (raw) (eV per atom) = 0.397
- SG = Pmmm, No. 47

Cell lengths 2.981, 5.134, 4.234 Å; angles 90.00, 90.02, 90.00 degrees
Positions (direct):
Sb: 0.000 0.000 0.000
Cd: 0.500 0.500 0.500
Be: 0.000 0.500 0.000

(3)
Density functional theory data (GGA-PBE) for a relaxed ZrNbAl2 crystal.

Results
- E_form (eV per atom) = 0.049
- SG = I-42d, No. 122

Cell lengths 7.391, 7.391, 5.952 Å; angles 51.62, 51.62, 90.00 degrees
Positions (direct):
Nb: 0.000 0.000 0.000
Nb: 0.750 0.250 0.500
Al: 0.637 0.125 0.250
Al: 0.113 0.625 0.250
Al: 0.375 0.363 0.750
Al: 0.875 0.887 0.750
Zr: 0.500 0.500 0.000
Zr: 0.250 0.750 0.500

(4)
Density functional theory data (GGA-PBE) for a relaxed Sc3ZnC crystal.

Results
- E_form (eV per atom) = -0.380
- SG = C2/m, No. 12

Cell lengths 6.194, 6.193, 5.651 Å; angles 102.33, 102.35, 63.05 degrees
Positions (direct):
Sc: 0.694 0.620 0.490
Sc: 0.057 0.913 0.903
Sc: 0.543 0.935 0.030
Sc: 0.523 0.448 0.904
Sc: 0.207 0.598 0.363
Sc: 0.228 0.085 0.490
C: 0.375 0.766 0.197
C: 0.375 0.766 0.697
Zn: 0.731 0.123 0.478
Zn: 0.019 0.410 0.915

(5)
Density functional theory data (GGA-PBE) for a relaxed Mn5AsPd6 crystal.

Results
- E_form (eV per atom) = -0.196
- SG = Immm, No. 71

Cell lengths 4.525, 7.765, 7.765 Å; angles 122.20, 106.96, 106.96 degrees
Positions (direct):
As: 0.000 0.000 0.000
Mn: 0.500 0.174 0.826
Mn: 0.000 0.333 0.667
Mn: 0.500 0.500 0.500
Mn: 0.000 0.667 0.333
Mn: 0.500 0.826 0.174
Pd: 0.249 0.084 0.414
Pd: 0.751 0.586 0.916
Pd: 0.748 0.248 0.248
Pd: 0.252 0.752 0.752
Pd: 0.249 0.414 0.084
Pd: 0.751 0.916 0.586

(6)
Density functional theory data (GGA-PBE) for a relaxed AcNd2Sm crystal.

Results
- E_form (eV per atom) = 0.026
- SG = P4/mmm, No. 123

Cell lengths 5.302, 5.280, 5.280 Å; angles 90.00, 90.00, 90.00 degrees
Positions (direct):
Ac: 0.500 0.000 0.000
Nd: 0.000 0.000 0.500
Nd: 0.000 0.500 0.000
Sm: 0.500 0.500 0.500

(7)
Density functional theory data (GGA-PBE) for a relaxed AcTbCePb crystal.

Results
- E_form (eV per atom) = -0.034
- SG = F-43m, No. 216

Cell lengths 5.647, 5.647, 5.647 Å; angles 60.00, 60.00, 60.00 degrees
Positions (direct):
Pb: 0.250 0.250 0.250
Ac: 0.750 0.750 0.750
Tb: 0.000 0.000 0.000
Ce: 0.500 0.500 0.500

(8)
Density functional theory data (GGA-PBE) for a relaxed K2NaOsCl8 crystal.

Results
- ΔE_f (raw) (eV per atom) = -1.142
- SG = P-1, No. 2

Cell lengths 7.797, 6.057, 8.667 Å; angles 69.25, 86.38, 104.36 degrees
Positions (direct):
K: 0.551 0.176 0.692
K: 0.449 0.824 0.308
Na: 0.000 0.000 0.500
Os: 0.000 0.000 0.000
Cl: 0.023 0.718 0.260
Cl: 0.714 0.755 0.015
Cl: 0.877 0.202 0.139
Cl: 0.977 0.282 0.740
Cl: 0.286 0.245 0.985
Cl: 0.123 0.798 0.861
Cl: 0.658 0.758 0.598
Cl: 0.342 0.242 0.402

(9)
Density functional theory data (GGA-PBE) for a relaxed Ba2DyH12Rh3 crystal.

Results
- SG = R-3m, No. 166

Cell lengths 6.268, 6.268, 6.268 Å; angles 67.25, 67.25, 67.25 degrees
Positions (direct):
Ba: 0.617 0.617 0.617
Ba: 0.383 0.383 0.383
Dy: 0.000 0.000 0.000
H: 0.282 0.282 0.917
H: 0.880 0.880 0.393
H: 0.393 0.880 0.880
H: 0.917 0.282 0.282
H: 0.880 0.393 0.880
H: 0.282 0.917 0.282
H: 0.718 0.718 0.083
H: 0.120 0.120 0.607
H: 0.607 0.120 0.120
H: 0.083 0.718 0.718
H: 0.120 0.607 0.120
H: 0.718 0.083 0.718
Rh: 0.500 0.000 0.000
Rh: 0.000 0.500 0.000
Rh: 0.000 0.000 0.500

(10)
Density functional theory data (GGA-PBE) for a relaxed BeAl3Fe crystal.

Results
- E_form (eV per atom) = 0.767
- SG = Pm-3m, No. 221

Cell lengths 4.181, 4.181, 4.181 Å; angles 90.00, 90.00, 90.00 degrees
Positions (direct):
Be: 0.000 0.000 0.000
Fe: 0.500 0.500 0.500
Al: 0.000 0.500 0.000
Al: 0.000 0.000 0.500
Al: 0.500 0.000 0.000

(11)
Density functional theory data (GGA-PBE) for a relaxed CsTl4Hg9 crystal.

Results
- E_form (eV per atom) = -0.062
- SG = I4/mcm, No. 140

Cell lengths 10.837, 10.837, 10.737 Å; angles 120.31, 120.31, 90.00 degrees
Positions (direct):
Cs: 0.750 0.750 0.500
Cs: 0.250 0.250 0.500
Tl: 0.303 0.803 0.246
Tl: 0.943 0.443 0.246
Tl: 0.557 0.697 0.754
Tl: 0.197 0.057 0.754
Tl: 0.697 0.197 0.754
Tl: 0.057 0.557 0.754
Tl: 0.803 0.943 0.246
Tl: 0.443 0.303 0.246
Hg: 0.055 0.195 0.000
Hg: 0.945 0.805 0.000
Hg: 0.555 0.305 0.000
Hg: 0.445 0.695 0.000
Hg: 0.305 0.445 0.000
Hg: 0.695 0.555 0.000
Hg: 0.195 0.945 0.000
Hg: 0.805 0.055 0.000
Hg: 0.000 0.500 0.000
Hg: 0.500 0.000 0.000
Hg: 0.796 0.296 0.352
Hg: 0.555 0.055 0.352
Hg: 0.945 0.204 0.648
Hg: 0.704 0.445 0.648
Hg: 0.204 0.704 0.648
Hg: 0.445 0.945 0.648
Hg: 0.296 0.555 0.352
Hg: 0.055 0.796 0.352

(12)
Density functional theory data (GGA-PBE) for a relaxed BaTcPt crystal.

Results
- E_form (eV per atom) = 0.761
- SG = F-43m, No. 216

Cell lengths 4.972, 4.972, 4.972 Å; angles 60.00, 60.00, 60.00 degrees
Positions (direct):
Ba: 0.500 0.500 0.500
Pt: 0.750 0.750 0.750
Tc: 0.000 0.000 0.000

no.,ρ (g/cm3),final energy (eV/atom)
1,9.55,-4.257
2,6.23,-2.524
3,5.08,-6.476
4,3.77,-6.279
5,8.92,-7.001
6,7.48,-4.565
7,9.56,-4.629
8,2.61,-3.601
9,6.26,-4.379
10,3.31,-3.916
11,10.36,-0.993
12,8.22,-5.349